Here is a relaxed Co2TcHg crystal from the Alexandria database. Energies are from GGA-PBE.

Calculated values
- Total magnetic moment: 3.681 μB/cell
- D(E_F): 5.38 states/eV/cell
- Crystal system: orthorhombic
- Calculated total energy: -5.717 eV per atom
- Energy relative to the elements: 503 meV per atom
- Symmetry: Imm2 (44)

abc: 5.303 5.303 5.303
angles: 149.83 129.60 59.87
Each line ends with the local moment (μB).
Atoms (fractional coordinates):
Co (0.986, 0.986, 0.000)  1.57
Co (0.774, 0.274, 0.500)  1.53
Hg (0.512, 0.512, 0.000)  -0.02
Tc (0.228, 0.728, 0.500)  0.60

=====

Here is a relaxed Co2TcHg crystal from the Alexandria database. Energies are from GGA-PBE.

Calculated values
- Total magnetic moment: 2.376 μB/cell
- D(E_F): 4.70 states/eV/cell
- Crystal system: monoclinic
- Calculated total energy: -5.764 eV per atom
- Energy relative to the elements: 456 meV per atom
- Symmetry: C2/m (12)

abc: 4.472 4.472 5.055
angles: 81.71 81.71 35.73
Each line ends with the local moment (μB).
Atoms (fractional coordinates):
Co (0.007, 0.007, 0.945)  1.14
Co (0.493, 0.493, 0.555)  1.14
Hg (0.250, 0.250, 0.250)  -0.01
Tc (0.750, 0.750, 0.750)  0.13

=====

Here is a relaxed CoTc2Hg2 crystal from the Alexandria database. Energies are from GGA-PBE.

Calculated values
- Total magnetic moment: 1.815 μB/cell
- D(E_F): 6.25 states/eV/cell
- E above lowest polymorph: 0.000 eV per atom
- Crystal system: tetragonal
- Calculated total energy: -4.860 eV per atom
- Energy relative to the elements: 828 meV per atom
- Symmetry: I4/mmm (139)

abc: 3.487 3.487 7.929
angles: 77.30 77.30 90.00
Each line ends with the local moment (μB).
Atoms (fractional coordinates):
Co (0.000, 0.000, 0.000)  1.60
Hg (0.406, 0.406, 0.188)  -0.02
Hg (0.594, 0.594, 0.812)  -0.02
Tc (0.750, 0.250, 0.500)  0.12
Tc (0.250, 0.750, 0.500)  0.12

=====

Here is a relaxed CoTc2Hg2 crystal from the Alexandria database. Energies are from GGA-PBE.

Calculated values
- Total magnetic moment: 2.452 μB/cell
- D(E_F): 9.99 states/eV/cell
- E above lowest polymorph: 0.862 eV per atom
- Crystal system: tetragonal
- Calculated total energy: -3.997 eV per atom
- Energy relative to the elements: 1691 meV per atom
- Symmetry: P4/mmm (123)

abc: 5.222 5.222 4.539
angles: 90.00 90.00 90.00
Each line ends with the local moment (μB).
Atoms (fractional coordinates):
Co (0.500, 0.500, 0.500)  2.10
Hg (0.000, 0.500, 0.000)  0.01
Hg (0.500, 0.000, 0.000)  0.01
Tc (0.000, 0.000, 0.000)  0.54
Tc (0.000, 0.000, 0.500)  -0.24

=====

Question: Number 3 is which compound?
Answer: CoTc2Hg2